This record from the Alexandria database describes a crystal of RbSN2O relaxed with PBEsol. The functional is SCAN.

abc: 3.521 3.521 4.800
angles: 90.00 90.00 90.00
Atoms (fractional coordinates):
Rb 0.000 0.000 0.000
S 0.500 0.500 0.500
N 0.000 0.500 0.500
N 0.500 0.000 0.500
O 0.500 0.500 0.000

Calculated values
crystal system = tetragonal
SG = P4/mmm
D(E_F) = 2.2 states/eV/cell
ΔE_f (raw) = 1089 meV per atom
mass density = 4.508 Mg/m³
total DFT energy (no corrections) = -9.947 eV/atom
total magnetic moment = 0.15 μB per formula unit


This record from the Alexandria database describes a crystal of KCrCo relaxed with PBEsol. The functional is SCAN.

abc: 2.763 3.380 12.326
angles: 90.00 90.00 90.00
Atoms (fractional coordinates):
K 0.000 0.000 0.000
K 0.500 0.500 0.500
Cr 0.000 0.000 0.271
Cr 0.500 0.500 0.771
Co 0.000 0.000 0.711
Co 0.500 0.500 0.211

Calculated values
crystal system = orthorhombic
SG = Imm2
D(E_F) = 5.4 states/eV/cell
mass density = 4.328 Mg/m³
total DFT energy (no corrections) = -13.800 eV/atom
energy relative to the elements = 84.2 kJ per mole of atoms
total magnetic moment = 2.68 μB per formula unit


This record from the Alexandria database describes a crystal of Na2Sb5C2S2N2O3F9 relaxed with PBEsol. The functional is SCAN.

abc: 6.953 9.252 13.149
angles: 74.71 78.61 83.12
Atoms (fractional coordinates):
Na 0.109 0.295 0.039
Na 0.329 0.856 0.081
Na 0.671 0.144 0.919
Na 0.891 0.705 0.961
Sb 0.038 0.433 0.761
Sb 0.226 0.077 0.303
Sb 0.297 0.044 0.772
Sb 0.447 0.640 0.881
Sb 0.449 0.650 0.362
Sb 0.551 0.350 0.638
Sb 0.553 0.360 0.119
Sb 0.703 0.956 0.228
Sb 0.774 0.923 0.697
Sb 0.962 0.567 0.239
C 0.051 0.292 0.542
C 0.264 0.740 0.622
C 0.736 0.260 0.378
C 0.949 0.708 0.458
S 0.255 0.918 0.568
S 0.259 0.297 0.461
S 0.741 0.703 0.539
S 0.745 0.082 0.432
N 0.097 0.714 0.393
N 0.275 0.607 0.661
N 0.725 0.393 0.339
N 0.903 0.286 0.607
O 0.278 0.299 0.728
O 0.437 0.876 0.309
O 0.494 0.143 0.232
O 0.506 0.857 0.768
O 0.563 0.124 0.691
O 0.722 0.701 0.272
F 0.028 0.759 0.123
F 0.131 0.483 0.881
F 0.152 0.293 0.214
F 0.170 0.028 0.173
F 0.200 0.779 0.902
F 0.305 0.531 0.036
F 0.368 0.052 0.910
F 0.378 0.633 0.228
F 0.447 0.259 0.027
F 0.553 0.741 0.973
F 0.622 0.367 0.772
F 0.632 0.948 0.090
F 0.695 0.469 0.964
F 0.800 0.221 0.098
F 0.830 0.972 0.827
F 0.848 0.707 0.786
F 0.869 0.517 0.119
F 0.972 0.241 0.877

Calculated values
crystal system = triclinic
SG = P-1
D(E_F) = 0.0 states/eV/cell
ΔE_f (raw) = -1625 meV per atom
mass density = 4.121 Mg/m³
total DFT energy (no corrections) = -13.758 eV/atom
total magnetic moment = 0.00 μB per formula unit


This record from the Alexandria database describes a crystal of LiLa4FeO8 relaxed with PBEsol. The functional is SCAN.

abc: 6.780 6.780 5.302
angles: 90.00 90.00 134.02
Atoms (fractional coordinates):
Li 0.000 0.000 0.000
La 0.136 0.864 0.500
La 0.365 0.635 0.000
La 0.635 0.365 0.000
La 0.864 0.136 0.500
Fe 0.500 0.500 0.500
O 0.181 0.819 0.000
O 0.249 0.249 0.256
O 0.249 0.249 0.744
O 0.335 0.665 0.500
O 0.665 0.335 0.500
O 0.751 0.751 0.256
O 0.751 0.751 0.744
O 0.819 0.181 0.000

Calculated values
crystal system = orthorhombic
SG = Cmmm
ΔE_f (raw) = -3233 meV per atom
mass density = 7.071 Mg/m³
total DFT energy (no corrections) = -20.575 eV/atom
total magnetic moment = 1.00 μB per formula unit


This record from the Alexandria database describes a crystal of Ge2RhI relaxed with PBEsol. The functional is SCAN.

abc: 6.751 6.751 6.751
angles: 90.00 90.00 90.00
Atoms (fractional coordinates):
Ge 0.250 0.250 0.250
Ge 0.250 0.250 0.750
Ge 0.250 0.750 0.250
Ge 0.250 0.750 0.750
Ge 0.750 0.250 0.250
Ge 0.750 0.250 0.750
Ge 0.750 0.750 0.250
Ge 0.750 0.750 0.750
Rh 0.000 0.000 0.000
Rh 0.000 0.500 0.500
Rh 0.500 0.000 0.500
Rh 0.500 0.500 0.000
I 0.000 0.000 0.500
I 0.000 0.500 0.000
I 0.500 0.000 0.000
I 0.500 0.500 0.500

Calculated values
crystal system = cubic
SG = Fm-3m
D(E_F) = 7.7 states/eV/cell
ΔE_f (raw) = 784 meV per atom
mass density = 8.098 Mg/m³
total DFT energy (no corrections) = -26.388 eV/atom
total magnetic moment = 0.00 μB per formula unit


This record from the Alexandria database describes a crystal of ZrTlCo2W relaxed with PBEsol. The functional is SCAN.

abc: 4.500 4.500 5.157
angles: 90.00 90.00 90.00
Atoms (fractional coordinates):
Zr 0.000 0.000 0.000
Tl 0.000 0.000 0.500
Co 0.000 0.500 0.500
Co 0.500 0.000 0.500
W 0.500 0.500 0.000

Calculated values
crystal system = tetragonal
SG = P4/mmm
D(E_F) = 4.1 states/eV/cell
mass density = 9.497 Mg/m³
total DFT energy (no corrections) = -39.405 eV/atom
energy relative to the elements = 199.3 kJ per mole of atoms
total magnetic moment = 2.14 μB per formula unit